First-principles (PBE) data for a geometry-optimized YTm3Pb12 structure, as listed in Alexandria.

Computed properties:
- Space-group type: P4/mmm (123)
- E_form: -0.241 eV per atom

```
YTm3Pb12
1.0
-4.746 0.536 -1.118
-1.213 -1.103 4.623
0.991 18.583 4.694
Y Tm Pb
1 3 12
direct
0.000 0.000 0.000
0.000 0.000 0.250
0.000 0.000 0.500
0.000 0.000 0.750
0.500 0.500 0.000
0.500 0.500 0.251
0.500 0.500 0.500
0.500 0.500 0.749
0.500 0.000 0.126
0.500 0.000 0.375
0.500 0.000 0.625
0.500 0.000 0.874
0.000 0.500 0.126
0.000 0.500 0.375
0.000 0.500 0.625
0.000 0.500 0.874
```